This record from Alexandria via LeMat-Bulk describes Ca2NbAg after structural relaxation. The functional is PBE-GGA.

POSCAR file:
```
Ca2NbAg
1.0
8.356 0.000 0.000
0.000 8.356 0.000
4.178 4.178 3.170
Ca Ag Nb
4 2 2
Direct
0.655 0.125 0.250 Ca
0.375 0.345 0.750 Ca
0.875 0.905 0.750 Ca
0.095 0.625 0.250 Ca
0.750 0.250 0.500 Ag
0.000 0.000 0.000 Ag
0.250 0.750 0.500 Nb
0.500 0.500 0.000 Nb
```

Results
total moment: 3.78 μB per formula unit
total energy: -28.285 eV per cell
formation enthalpy at 0 K: 0.70 eV per atom